Below is a relaxed structure of CoH2F, with properties calculated at the GGA+U level.

Summary:
- Energy above the lowest structure with this stoichiometry: 0.2683 eV/atom
- Total moment: 2.009 μB per formula unit
- Symmetry: Fm-3m
- Energy: -3.13 eV/atom

Lattice parameters (Å, degrees): 3.4190 3.4190 3.4190 60.00 60.00 60.00
Element x y z (fractional)
Co  0.0000  0.0000  0.0000
H  0.2500  0.2500  0.2500
H  0.7500  0.7500  0.7500
F  0.5000  0.5000  0.5000